VASP calculation (PBE+U) on a relaxed structure of TbHgMo2O8.

Crystal system   trigonal
VASP energy   -6.660 eV per atom
Magnetization   0.000 μB per atom

Unit cell a=8.706 b=8.706 c=8.706 alpha=37.55 beta=37.55 gamma=37.55
Atoms (fractional coordinates):
Tb  0.000  0.000  0.000
Hg  0.500  0.500  0.500
Mo  0.252  0.252  0.252
Mo  0.748  0.748  0.748
O  0.006  0.758  0.404
O  0.179  0.179  0.179
O  0.242  0.596  0.994
O  0.404  0.006  0.758
O  0.596  0.994  0.242
O  0.758  0.404  0.006
O  0.821  0.821  0.821
O  0.994  0.242  0.596